# 1
The following is a PBE calculation of a relaxed structure of Cu2Bi2O5, from Alexandria.

Lattice parameters (Å, degrees): 5.302 5.367 9.754 105.97 105.77 90.00
Site moments in Bohr magnetons follow the coordinates.
Sites, in units of the cell vectors:
1 O 0.244 0.081 0.318  0.04
2 O 0.573 0.581 0.318  0.04
3 O 0.829 0.168 0.500  0.22
4 O 0.427 0.263 0.682  0.04
5 O 0.171 0.668 0.500  0.22
6 O 0.717 0.709 0.942  0.01
7 O 0.756 0.763 0.682  0.04
8 O 0.724 0.209 0.942  0.01
9 O 0.283 0.767 0.058  0.01
10 O 0.276 0.267 0.058  0.01
11 Bi 0.581 0.145 0.241  0.00
12 Bi 0.839 0.403 0.759  0.00
13 Bi 0.419 0.903 0.759  0.00
14 Bi 0.161 0.645 0.241  0.00
15 Cu 0.166 0.312 0.500  0.52
16 Cu 0.500 0.489 0.000  0.04
17 Cu 0.834 0.812 0.500  0.52
18 Cu 0.000 0.989 0.000  0.04

energy relative to the elements, uncorrected: -833 meV/atom
total magnetization: 0.95 μB per formula unit
DOS at the Fermi energy: 8.35 states/eV/cell

=====

# 2
The following is a PBE calculation of a relaxed structure of CuBi3O, from Alexandria.

Lattice parameters (Å, degrees): 4.911 4.911 4.911 90.00 90.00 90.00
Sites, in units of the cell vectors:
1 Bi 0.500 0.000 0.000
2 Bi 0.000 0.500 0.000
3 Bi 0.000 0.000 0.500
4 Cu 0.500 0.500 0.500
5 O 0.000 0.000 0.000

energy relative to the elements, uncorrected: 145 meV/atom
total magnetization: 0.00 μB per formula unit
DOS at the Fermi energy: 5.42 states/eV/cell
excess energy over the best structure of this formula in the dataset: 0.00 eV/f.u.

=====

# 3
The following is a PBE calculation of a relaxed structure of CuBi6O12, from Alexandria.

Lattice parameters (Å, degrees): 6.641 6.641 6.641 99.27 99.27 99.27
Sites, in units of the cell vectors:
1 O 0.045 0.701 0.927
2 O 0.073 0.955 0.299
3 O 0.299 0.073 0.955
4 O 0.179 0.432 0.569
5 O 0.701 0.927 0.045
6 O 0.955 0.299 0.073
7 O 0.432 0.569 0.179
8 O 0.821 0.568 0.431
9 O 0.927 0.045 0.701
10 O 0.569 0.179 0.432
11 O 0.431 0.821 0.568
12 O 0.568 0.431 0.821
13 Cu 0.000 0.000 0.000
14 Bi 0.599 0.288 0.134
15 Bi 0.288 0.134 0.599
16 Bi 0.134 0.599 0.288
17 Bi 0.401 0.712 0.866
18 Bi 0.712 0.866 0.401
19 Bi 0.866 0.401 0.712

energy relative to the elements, uncorrected: -950 meV/atom
total magnetization: 0.00 μB per formula unit
DOS at the Fermi energy: 13.26 states/eV/cell